The following is a DFT calculation (PBE-GGA) of crystalline TlCd2Fe at its relaxed geometry.

Results
formation enthalpy at 0 K: 0.3589 eV per atom
polymorph energy (0 for the lowest one): 0.325 eV/f.u.
uncorrected energy: -2.81 eV per atom
V: 20.86 Å³ per atom

a b c (Å): 3.084 3.084 8.774
angles (deg): 90.00 90.00 90.00
Space group P4mm (No. 99)
Asymmetric unit:
Tl 0.000 0.000 0.000
Cd 0.000 0.000 0.566
Cd 0.500 0.500 0.300
Fe 0.500 0.500 0.771